[1]
First-principles (GGA-PBEsol) data for crystalline SiTeO2F at its relaxed geometry, as listed in Alexandria via LeMat-Bulk.

Results
The energy relative to the elements, uncorrected is -1196 meV/atom.

Cell and atoms, written as POSCAR:
```
SiTeO2F
1.0
3.366 0.000 0.000
0.000 3.366 0.000
0.000 0.000 7.173
Te O F Si
1 2 1 1
Cartesian
1.683 1.683 3.587
1.683 0.000 0.000
0.000 1.683 0.000
0.000 0.000 3.587
0.000 0.000 0.000
```

---

[2]
First-principles (GGA-PBEsol) data for crystalline RbLa2IrSe at its relaxed geometry, as listed in Alexandria via LeMat-Bulk.

Results
The energy relative to the elements, uncorrected is 312 meV/atom.

Cell and atoms, written as POSCAR:
```
RbLa2IrSe
1.0
5.549 0.000 0.000
0.000 5.549 0.000
0.000 0.000 5.665
La Ir Se Rb
2 1 1 1
Cartesian
0.000 2.774 0.000
2.774 0.000 0.000
2.774 2.774 2.833
0.000 0.000 0.000
0.000 0.000 2.833
```

---

[3]
First-principles (GGA-PBEsol) data for crystalline CdHg at its relaxed geometry, as listed in Alexandria via LeMat-Bulk.

Results
The calculation puts the raw total energy at -0.88 eV per atom.

Cell and atoms, written as POSCAR:
```
CdHg
1.0
4.362 0.000 0.000
0.000 4.362 0.000
-2.181 -2.181 4.525
Cd Hg
2 2
Cartesian
0.000 2.181 2.262
0.000 0.000 0.000
2.181 2.181 0.000
2.181 0.000 2.262
```

---

[4]
First-principles (GGA-PBEsol) data for crystalline MgBiSN2 at its relaxed geometry, as listed in Alexandria via LeMat-Bulk.

Results
The energy relative to the elements, uncorrected is 1060 meV/atom.

Cell and atoms, written as POSCAR:
```
MgBiSN2
1.0
4.200 0.000 0.000
0.000 4.200 0.000
0.000 0.000 5.441
Mg N Bi S
1 2 1 1
Cartesian
2.100 2.100 2.721
0.000 2.100 0.000
2.100 0.000 0.000
0.000 0.000 0.000
0.000 0.000 2.721
```

---

[5]
First-principles (GGA-PBEsol) data for crystalline SiNi3As at its relaxed geometry, as listed in Alexandria via LeMat-Bulk.

Results
The energy relative to the elements, uncorrected is 357 meV/atom.

Cell and atoms, written as POSCAR:
```
SiNi3As
1.0
-2.795 -1.560 -2.666
2.628 -3.090 -0.947
-1.622 -2.317 3.057
Ni As Si
3 1 1
Cartesian
1.314 -1.545 -0.474
-0.811 -1.159 1.529
-1.397 -0.780 -1.333
-0.894 -3.484 -0.278
0.000 0.000 0.000
```

---

[6]
First-principles (GGA-PBEsol) data for crystalline BaMgCd at its relaxed geometry, as listed in Alexandria via LeMat-Bulk.

Results
The calculation puts the raw total energy at -1.83 eV per atom.

Cell and atoms, written as POSCAR:
```
BaMgCd
1.0
-2.189 -3.182 -0.166
3.089 -2.069 -1.059
0.824 1.434 6.661
Mg Cd Ba
1 1 1
Cartesian
0.963 -3.106 1.823
0.774 -0.724 3.675
1.711 -3.806 5.373
```